No. 1
HgTe2: relaxed, PBE.

Calculated values
raw total energy	-0.0706	Ha/atom
space group	P6_3/mmc (194)
uncorrected formation energy	0.2732	eV/atom
excess energy over the best structure of this formula in the dataset	0.2502	eV per atom

POSCAR file:
```
HgTe2
1.0
5.4427 0.0000 0.0000
-2.7214 4.7135 0.0000
0.0000 0.0000 6.5105
Hg Te
2 4
direct
0.3333 0.6667 0.2500
0.6667 0.3333 0.7500
0.0000 0.0000 0.0000
0.0000 0.0000 0.5000
0.3333 0.6667 0.7500
0.6667 0.3333 0.2500
```

No. 2
LiCrTe3: relaxed, PBE.

Calculated values
raw total energy	-0.1521	Ha/atom
space group	Pm-3m (221)
uncorrected formation energy	0.0536	eV/atom
excess energy over the best structure of this formula in the dataset	0.0000	eV per atom

POSCAR file:
```
LiCrTe3
1.0
5.2831 0.0000 0.0000
0.0000 5.2831 0.0000
0.0000 0.0000 5.2831
Li Cr Te
1 1 3
direct
0.0000 0.0000 0.0000
0.5000 0.5000 0.5000
0.0000 0.5000 0.5000
0.5000 0.0000 0.5000
0.5000 0.5000 0.0000
```

No. 3
Li2CuAu: relaxed, PBE.

Calculated values
raw total energy	-0.1131	Ha/atom
space group	C2/m (12)
formation energy	-0.28	eV per atom

POSCAR file:
```
Li2CuAu
1.0
2.7445 -3.7023 0.0000
2.7445 3.7023 0.0000
-0.0438 0.0000 2.8219
Li Cu Au
2 1 1
direct
0.0000 0.5000 0.0000
0.5000 0.0000 0.0000
0.0000 0.0000 0.5000
0.5000 0.5000 0.5000
```

No. 4
Hf2TiZnCu: relaxed, PBE.

Calculated values
raw total energy	-0.2052	Ha/atom
space group	P4/mmm (123)
formation energy	1.05	eV per atom

POSCAR file:
```
Hf2TiZnCu
1.0
4.7892 0.0000 0.0000
0.0000 4.7892 0.0000
0.0000 0.0000 4.8598
Hf Ti Zn Cu
2 1 1 1
direct
0.0000 0.5000 0.0000
0.5000 0.0000 0.0000
0.0000 0.0000 0.0000
0.0000 0.0000 0.5000
0.5000 0.5000 0.5000
```

Short version: volume = 27.8; 29.5; 14.3; 22.3 Å³/atom, in the order given.